Entry 1:
# NaBeOsI2 (PBE-GGA, relaxed)
data_NaBeOsI2
_cell_length_a 5.120
_cell_length_b 5.120
_cell_length_c 5.704
_cell_angle_alpha 90.00
_cell_angle_beta 90.00
_cell_angle_gamma 90.00
_symmetry_space_group_name_H-M 'P 4/m m m'
_symmetry_Int_Tables_number 123
_symmetry_space_group_name_Hall '-P 4 2'
loop_
_atom_site_label
_atom_site_type_symbol
_atom_site_fract_x
_atom_site_fract_y
_atom_site_fract_z
Na1 Na 0.000 0.000 0.000
Be1 Be 0.000 0.000 0.500
Os1 Os 0.500 0.500 0.000
I1 I 0.000 0.500 0.500
# Calculated total energy ... -2.49 eV per atom

=====

Entry 2:
# GaBi3Pd12 (PBE-GGA, relaxed)
data_GaBi3Pd12
_cell_length_a 4.102
_cell_length_b 4.102
_cell_length_c 16.193
_cell_angle_alpha 90.00
_cell_angle_beta 90.00
_cell_angle_gamma 90.00
_symmetry_space_group_name_H-M 'P 4/m m m'
_symmetry_Int_Tables_number 123
_symmetry_space_group_name_Hall '-P 4 2'
loop_
_atom_site_label
_atom_site_type_symbol
_atom_site_fract_x
_atom_site_fract_y
_atom_site_fract_z
Ga1 Ga 0.000 0.000 0.000
Bi1 Bi 0.000 0.000 0.239
Bi2 Bi 0.000 0.000 0.500
Pd1 Pd 0.000 0.500 0.114
Pd2 Pd 0.000 0.500 0.372
Pd3 Pd 0.500 0.500 0.000
Pd4 Pd 0.500 0.500 0.246
Pd5 Pd 0.500 0.500 0.500
# Formation energy ... -0.30 eV/atom

=====

Entry 3:
# Zr2RhCl (PBE-GGA, relaxed)
data_Zr2RhCl
_cell_length_a 3.404
_cell_length_b 3.537
_cell_length_c 14.504
_cell_angle_alpha 90.00
_cell_angle_beta 90.00
_cell_angle_gamma 90.00
_symmetry_space_group_name_H-M 'A m m 2'
_symmetry_Int_Tables_number 38
loop_
_symmetry_equiv_pos_as_xyz
'x,y,z'
'-x,-y,z'
'-x,y,z'
'x,-y,z'
'x,y+1/2,z+1/2'
'-x,-y+1/2,z+1/2'
'-x,y+1/2,z+1/2'
'x,-y+1/2,z+1/2'
loop_
_atom_site_label
_atom_site_type_symbol
_atom_site_fract_x
_atom_site_fract_y
_atom_site_fract_z
Zr1 Zr 0.000 0.000 0.000
Zr2 Zr 0.500 0.000 0.208
Rh1 Rh 0.500 0.000 0.573
Cl1 Cl 0.000 0.000 0.814
# ΔE to the lowest computed polymorph ... 95.2 meV per atom

=====

Entry 4:
# LiTa2P (PBE-GGA, relaxed)
data_LiTa2P
_cell_length_a 3.251
_cell_length_b 3.251
_cell_length_c 5.712
_cell_angle_alpha 90.00
_cell_angle_beta 90.00
_cell_angle_gamma 90.00
_symmetry_space_group_name_H-M 'P 4/m m m'
_symmetry_Int_Tables_number 123
_symmetry_space_group_name_Hall '-P 4 2'
loop_
_atom_site_label
_atom_site_type_symbol
_atom_site_fract_x
_atom_site_fract_y
_atom_site_fract_z
Li1 Li 0.000 0.000 0.000
Ta1 Ta 0.500 0.500 0.264
P1 P 0.000 0.000 0.500
# Formation energy ... -0.06 eV/atom

=====

Entry 5:
# PPd4S (PBE-GGA, relaxed)
data_PPd4S
_cell_length_a 15.387
_cell_length_b 3.846
_cell_length_c 7.304
_cell_angle_alpha 90.00
_cell_angle_beta 91.76
_cell_angle_gamma 90.00
_symmetry_space_group_name_H-M 'C 1 2/m 1'
_symmetry_Int_Tables_number 12
loop_
_symmetry_equiv_pos_as_xyz
'x,y,z'
'-x,-y,-z'
'-x,y,-z'
'x,-y,z'
'x+1/2,y+1/2,z'
'-x+1/2,-y+1/2,-z'
'-x+1/2,y+1/2,-z'
'x+1/2,-y+1/2,z'
loop_
_atom_site_label
_atom_site_type_symbol
_atom_site_fract_x
_atom_site_fract_y
_atom_site_fract_z
P1 P 0.208 0.000 0.271
Pd1 Pd 0.088 0.000 0.068
Pd2 Pd 0.088 0.000 0.445
Pd3 Pd 0.135 0.500 0.733
Pd4 Pd 0.246 0.000 0.867
S1 S 0.041 0.000 0.753
# Calculated total energy ... -5.30 eV per atom